! MgTaSe | Alexandria via LeMat-Bulk | PBE | relaxed; values from VASP
&SYSTEM
  ibrav = 0, nat = 6, ntyp = 3
/
ATOMIC_SPECIES
Mg 24.30 Mg.upf
Ta 180.95 Ta.upf
Se 78.96 Se.upf
CELL_PARAMETERS angstrom
3.299 0.000 0.000
0.000 3.299 0.000
0.000 0.000 10.703
ATOMIC_POSITIONS crystal
Mg 0.000 0.000 0.000
Mg 0.500 0.500 0.500
Ta 0.000 0.000 0.314
Ta 0.500 0.500 0.814
Se 0.000 0.000 0.700
Se 0.500 0.500 0.200
! calculated volume: 19.42 A^3/atom
! symmetry: I4mm, No. 107
! formation energy from raw total energies: -220 meV per atom
! D(E_F): 0.896 states/eV per atom
! energy relative to the lowest polymorph listed for this composition: 0.052 eV/atom


! MgTaTcSe2 | Alexandria via LeMat-Bulk | PBE | relaxed; values from VASP
&SYSTEM
  ibrav = 0, nat = 5, ntyp = 4
/
ATOMIC_SPECIES
Mg 24.30 Mg.upf
Ta 180.95 Ta.upf
Tc 98.00 Tc.upf
Se 78.96 Se.upf
CELL_PARAMETERS angstrom
4.948 0.000 0.000
0.000 4.948 0.000
0.000 0.000 5.416
ATOMIC_POSITIONS crystal
Mg 0.000 0.000 0.000
Ta 0.000 0.000 0.500
Tc 0.500 0.500 0.000
Se 0.000 0.500 0.500
Se 0.500 0.000 0.500
! calculated volume: 26.52 A^3/atom
! symmetry: P4/mmm, No. 123
! formation energy from raw total energies: 941 meV per atom
! D(E_F): 1.141 states/eV per atom


! Mg2TaTl3Se6 | Alexandria via LeMat-Bulk | PBE | relaxed; values from VASP
&SYSTEM
  ibrav = 0, nat = 12, ntyp = 4
/
ATOMIC_SPECIES
Mg 24.30 Mg.upf
Ta 180.95 Ta.upf
Tl 204.38 Tl.upf
Se 78.96 Se.upf
CELL_PARAMETERS angstrom
3.424 -5.917 0.000
3.424 5.917 0.000
-2.247 0.000 7.672
ATOMIC_POSITIONS crystal
Mg 0.166 0.834 0.000
Mg 0.834 0.166 0.000
Ta 0.500 0.500 0.000
Tl 0.000 0.000 0.500
Tl 0.330 0.670 0.500
Tl 0.670 0.330 0.500
Se 0.120 0.435 0.809
Se 0.250 0.250 0.197
Se 0.435 0.120 0.809
Se 0.565 0.880 0.191
Se 0.750 0.750 0.803
Se 0.880 0.565 0.191
! calculated volume: 25.91 A^3/atom
! symmetry: C2/m, No. 12
! formation energy from raw total energies: -754 meV per atom
! D(E_F): 0.057 states/eV per atom


! Y2MgTaSe | Alexandria via LeMat-Bulk | PBE | relaxed; values from VASP
&SYSTEM
  ibrav = 0, nat = 5, ntyp = 4
/
ATOMIC_SPECIES
Y 88.91 Y.upf
Mg 24.30 Mg.upf
Ta 180.95 Ta.upf
Se 78.96 Se.upf
CELL_PARAMETERS angstrom
5.591 0.000 0.000
0.000 5.591 0.000
0.000 0.000 4.622
ATOMIC_POSITIONS crystal
Y 0.000 0.500 0.000
Y 0.500 0.000 0.000
Mg 0.000 0.000 0.000
Ta 0.500 0.500 0.500
Se 0.000 0.000 0.500
! calculated volume: 28.89 A^3/atom
! symmetry: P4/mmm, No. 123
! formation energy from raw total energies: 1025 meV per atom
! D(E_F): 1.363 states/eV per atom


! MgTaZn2Se | Alexandria via LeMat-Bulk | PBE | relaxed; values from VASP
&SYSTEM
  ibrav = 0, nat = 5, ntyp = 4
/
ATOMIC_SPECIES
Mg 24.30 Mg.upf
Ta 180.95 Ta.upf
Zn 65.41 Zn.upf
Se 78.96 Se.upf
CELL_PARAMETERS angstrom
4.659 0.000 0.000
0.000 4.659 0.000
0.000 0.000 5.246
ATOMIC_POSITIONS crystal
Mg 0.000 0.000 0.000
Ta 0.000 0.000 0.500
Zn 0.000 0.500 0.000
Zn 0.500 0.000 0.000
Se 0.500 0.500 0.500
! calculated volume: 22.78 A^3/atom
! symmetry: P4/mmm, No. 123
! formation energy from raw total energies: 1178 meV per atom
! D(E_F): 0.881 states/eV per atom


! Tb2MgSe | Alexandria via LeMat-Bulk | PBE | relaxed; values from VASP
&SYSTEM
  ibrav = 0, nat = 12, ntyp = 3
/
ATOMIC_SPECIES
Tb 158.93 Tb.upf
Mg 24.30 Mg.upf
Se 78.96 Se.upf
CELL_PARAMETERS angstrom
3.775 0.000 0.000
-1.887 3.269 0.000
0.000 0.000 30.378
ATOMIC_POSITIONS crystal
Tb 0.000 0.000 0.108
Tb 0.000 0.000 0.892
Tb 0.333 0.667 0.559
Tb 0.333 0.667 0.775
Tb 0.667 0.333 0.225
Tb 0.667 0.333 0.441
Mg 0.000 0.000 0.000
Mg 0.333 0.667 0.667
Mg 0.667 0.333 0.333
Se 0.000 0.000 0.500
Se 0.333 0.667 0.167
Se 0.667 0.333 0.833
! calculated volume: 31.24 A^3/atom
! symmetry: R-3m, No. 166
! formation energy from raw total energies: -520 meV per atom
! D(E_F): 0.918 states/eV per atom
! energy relative to the lowest polymorph listed for this composition: 0.266 eV/atom


! Tb2MgSe4 | Alexandria via LeMat-Bulk | PBE | relaxed; values from VASP
&SYSTEM
  ibrav = 0, nat = 28, ntyp = 3
/
ATOMIC_SPECIES
Tb 158.93 Tb.upf
Mg 24.30 Mg.upf
Se 78.96 Se.upf
CELL_PARAMETERS angstrom
13.228 0.000 0.000
0.000 4.040 0.000
0.000 0.000 14.187
ATOMIC_POSITIONS crystal
Tb 0.117 0.250 0.075
Tb 0.140 0.250 0.702
Tb 0.360 0.750 0.202
Tb 0.383 0.750 0.575
Tb 0.617 0.250 0.425
Tb 0.640 0.250 0.798
Tb 0.860 0.750 0.298
Tb 0.883 0.750 0.925
Mg 0.110 0.750 0.458
Mg 0.390 0.250 0.958
Mg 0.610 0.750 0.042
Mg 0.890 0.250 0.542
Se 0.005 0.750 0.618
Se 0.029 0.250 0.882
Se 0.225 0.250 0.248
Se 0.238 0.250 0.514
Se 0.262 0.750 0.014
Se 0.275 0.750 0.748
Se 0.471 0.750 0.382
Se 0.495 0.250 0.118
Se 0.505 0.750 0.882
Se 0.529 0.250 0.618
Se 0.725 0.250 0.252
Se 0.738 0.250 0.986
Se 0.762 0.750 0.486
Se 0.775 0.750 0.752
Se 0.971 0.750 0.118
Se 0.995 0.250 0.382
! calculated volume: 27.07 A^3/atom
! symmetry: Pnma, No. 62
! formation energy from raw total energies: -1644 meV per atom
! D(E_F): 0.000 states/eV per atom
! energy relative to the lowest polymorph listed for this composition: 0.055 eV/atom


! Tb2MgSe4 | Alexandria via LeMat-Bulk | PBE | relaxed; values from VASP
&SYSTEM
  ibrav = 0, nat = 28, ntyp = 3
/
ATOMIC_SPECIES
Tb 158.93 Tb.upf
Mg 24.30 Mg.upf
Se 78.96 Se.upf
CELL_PARAMETERS angstrom
8.237 0.000 0.000
0.000 7.662 0.000
0.000 0.000 12.072
ATOMIC_POSITIONS crystal
Tb 0.060 0.250 0.186
Tb 0.062 0.750 0.482
Tb 0.438 0.250 0.982
Tb 0.440 0.750 0.686
Tb 0.560 0.250 0.314
Tb 0.562 0.750 0.018
Tb 0.938 0.250 0.518
Tb 0.940 0.750 0.814
Mg 0.178 0.750 0.096
Mg 0.322 0.250 0.596
Mg 0.678 0.750 0.404
Mg 0.822 0.250 0.904
Se 0.113 0.250 0.949
Se 0.128 0.501 0.659
Se 0.128 0.999 0.659
Se 0.233 0.250 0.390
Se 0.267 0.750 0.890
Se 0.372 0.001 0.159
Se 0.372 0.499 0.159
Se 0.387 0.750 0.449
Se 0.613 0.250 0.551
Se 0.628 0.501 0.841
Se 0.628 0.999 0.841
Se 0.733 0.250 0.110
Se 0.767 0.750 0.610
Se 0.872 0.001 0.341
Se 0.872 0.499 0.341
Se 0.887 0.750 0.051
! calculated volume: 27.21 A^3/atom
! symmetry: Pnma, No. 62
! formation energy from raw total energies: -1488 meV per atom
! energy relative to the lowest polymorph listed for this composition: 0.211 eV/atom


! Tb2MgSe4 | Alexandria via LeMat-Bulk | PBE | relaxed; values from VASP
&SYSTEM
  ibrav = 0, nat = 14, ntyp = 3
/
ATOMIC_SPECIES
Tb 158.93 Tb.upf
Mg 24.30 Mg.upf
Se 78.96 Se.upf
CELL_PARAMETERS angstrom
0.000 5.866 5.866
5.866 0.000 5.866
5.866 5.866 0.000
ATOMIC_POSITIONS crystal
Tb 0.000 0.000 0.000
Tb 0.000 0.000 0.500
Tb 0.000 0.500 0.000
Tb 0.500 0.000 0.000
Mg 0.375 0.375 0.375
Mg 0.625 0.625 0.625
Se 0.237 0.754 0.754
Se 0.246 0.246 0.246
Se 0.246 0.246 0.763
Se 0.246 0.763 0.246
Se 0.754 0.237 0.754
Se 0.754 0.754 0.237
Se 0.754 0.754 0.754
Se 0.763 0.246 0.246
! calculated volume: 28.83 A^3/atom
! symmetry: Fd-3m, No. 227
! formation energy from raw total energies: -1699 meV per atom
! energy relative to the lowest polymorph listed for this composition: 0.000 eV/atom


! Tb2MgSe4 | Alexandria via LeMat-Bulk | PBE | relaxed; values from VASP
&SYSTEM
  ibrav = 0, nat = 28, ntyp = 3
/
ATOMIC_SPECIES
Tb 158.93 Tb.upf
Mg 24.30 Mg.upf
Se 78.96 Se.upf
CELL_PARAMETERS angstrom
7.690 0.000 0.000
-0.388 9.184 0.000
-1.371 -2.188 12.140
ATOMIC_POSITIONS crystal
Tb 0.127 0.439 0.325
Tb 0.141 0.979 0.359
Tb 0.247 0.123 0.994
Tb 0.363 0.294 0.653
Tb 0.637 0.706 0.347
Tb 0.753 0.877 0.006
Tb 0.859 0.021 0.641
Tb 0.873 0.561 0.675
Mg 0.260 0.588 0.984
Mg 0.364 0.792 0.696
Mg 0.636 0.208 0.304
Mg 0.740 0.412 0.016
Se 0.082 0.966 0.139
Se 0.094 0.396 0.099
Se 0.198 0.543 0.602
Se 0.210 0.004 0.606
Se 0.285 0.713 0.355
Se 0.352 0.240 0.403
Se 0.386 0.834 0.903
Se 0.401 0.349 0.880
Se 0.599 0.651 0.120
Se 0.614 0.166 0.097
Se 0.648 0.760 0.597
Se 0.715 0.287 0.645
Se 0.790 0.996 0.394
Se 0.802 0.457 0.398
Se 0.906 0.604 0.901
Se 0.918 0.034 0.861
! calculated volume: 30.62 A^3/atom
! symmetry: P-1, No. 2
! formation energy from raw total energies: -1529 meV per atom
! D(E_F): 0.000 states/eV per atom
! energy relative to the lowest polymorph listed for this composition: 0.170 eV/atom


Q: What is the formation energy from raw total energies in the eighth record?
A: -1488 meV per atom


Q: calculated volume of number 4 (Y2MgTaSe)?
A: 28.89 A^3/atom


Q: What is the formula in the eighth record?
A: Tb2MgSe4


Q: calculated volume of number 5 (MgTaZn2Se)?
A: 22.78 A^3/atom